Entry from Alexandria via LeMat-Bulk: an optimized crystal structure of ZrAlCo2H (GGA-PBE).

Cell: 3.925 3.925 3.866 Å, 90.00 90.00 90.00°
Positions (direct):
Al: 0.500 0.500 0.500
H: 0.000 0.000 0.000
Zr: 0.000 0.000 0.500
Co: 0.000 0.500 0.000
Co: 0.500 0.000 0.000

## Properties
For the energy, the calculation gives -6.180 eV/atom. The density of states at the Fermi level is 3.80 states/eV/f.u.


Entry from Alexandria via LeMat-Bulk: an optimized crystal structure of Zr2AlCoH (GGA-PBE).

Cell: 4.389 4.389 3.759 Å, 90.00 90.00 90.00°
Positions (direct):
Zr: 0.000 0.500 0.000
Zr: 0.500 0.000 0.000
H: 0.000 0.000 0.000
Co: 0.000 0.000 0.500
Al: 0.500 0.500 0.500

## Properties
For the energy, the calculation gives -6.590 eV/atom. The density of states at the Fermi level is 4.73 states/eV/f.u.


Entry from Alexandria via LeMat-Bulk: an optimized crystal structure of Hf3Al4Co2 (GGA-PBE).

Cell: 4.197 5.349 7.844 Å, 110.49 90.00 113.10°
Positions (direct):
Co: 0.678 0.357 0.360
Co: 0.322 0.643 0.640
Hf: 0.642 0.284 0.677
Hf: 0.000 0.000 0.000
Hf: 0.358 0.716 0.323
Al: 0.283 0.565 0.925
Al: 0.078 0.156 0.392
Al: 0.922 0.844 0.608
Al: 0.717 0.435 0.075

## Properties
The calculated formation energy comes out at -0.404 eV/atom. The density of states at the Fermi level is 5.94 states/eV/f.u.


Entry from Alexandria via LeMat-Bulk: an optimized crystal structure of HfAl2Co3 (GGA-PBE).

Cell: 4.187 4.187 10.302 Å, 90.00 90.00 120.00°
Each line ends with the local moment (μB).
Positions (direct):
Co: 0.000 0.000 0.760  0.37
Co: 0.000 0.000 0.240  0.37
Co: 0.667 0.333 0.078  0.35
Co: 0.333 0.667 0.922  0.35
Co: 0.333 0.667 0.416  0.44
Co: 0.667 0.333 0.584  0.44
Al: 0.667 0.333 0.841  -0.01
Al: 0.000 0.000 0.500  0.00
Al: 0.000 0.000 0.000  -0.01
Al: 0.333 0.667 0.159  -0.01
Hf: 0.333 0.667 0.671  -0.08
Hf: 0.667 0.333 0.329  -0.08

## Properties
The calculated formation energy comes out at -0.560 eV/atom. The density of states at the Fermi level is 3.10 states/eV/f.u.


Entry from Alexandria via LeMat-Bulk: an optimized crystal structure of Hf2AlCo (GGA-PBE).

Cell: 3.237 3.237 8.381 Å, 78.87 78.87 60.00°
Positions (direct):
Co: 0.000 0.000 0.000
Al: 0.500 0.500 0.500
Hf: 0.262 0.262 0.214
Hf: 0.738 0.738 0.786

## Properties
The calculated formation energy comes out at -0.100 eV/atom. The density of states at the Fermi level is 2.93 states/eV/f.u.


Entry from Alexandria via LeMat-Bulk: an optimized crystal structure of Hf3Al3Co2 (GGA-PBE).

Cell: 5.310 7.309 13.769 Å, 90.00 90.00 90.00°
Positions (direct):
Co: 0.850 0.109 0.385
Co: 0.150 0.891 0.615
Co: 0.350 0.391 0.615
Co: 0.650 0.609 0.115
Co: 0.150 0.891 0.885
Co: 0.350 0.391 0.885
Co: 0.650 0.609 0.385
Co: 0.850 0.109 0.115
Al: 0.870 0.821 0.750
Al: 0.410 0.674 0.532
Al: 0.130 0.179 0.250
Al: 0.910 0.826 0.468
Al: 0.630 0.321 0.750
Al: 0.590 0.326 0.468
Al: 0.910 0.826 0.032
Al: 0.590 0.326 0.032
Al: 0.090 0.174 0.532
Al: 0.410 0.674 0.968
Al: 0.090 0.174 0.968
Al: 0.370 0.679 0.250
Hf: 0.095 0.471 0.114
Hf: 0.405 0.971 0.386
Hf: 0.136 0.171 0.750
Hf: 0.864 0.829 0.250
Hf: 0.636 0.329 0.250
Hf: 0.364 0.671 0.750
Hf: 0.405 0.971 0.114
Hf: 0.595 0.029 0.886
Hf: 0.595 0.029 0.614
Hf: 0.905 0.529 0.614
Hf: 0.905 0.529 0.886
Hf: 0.095 0.471 0.386

## Properties
The calculated formation energy comes out at -0.437 eV/atom. The density of states at the Fermi level is 7.21 states/eV/f.u.


Entry from Alexandria via LeMat-Bulk: an optimized crystal structure of HfAlCo2 (GGA-PBE).

Cell: 3.068 3.068 5.871 Å, 90.00 90.00 90.00°
Each line ends with the local moment (μB).
Positions (direct):
Hf: 0.500 0.500 0.500  -0.09
Co: 0.000 0.000 0.765  0.48
Co: 0.000 0.000 0.235  0.48
Al: 0.500 0.500 0.000  -0.01

## Properties
The calculated formation energy comes out at -0.479 eV/atom. The density of states at the Fermi level is 2.29 states/eV/f.u.


Entry from Alexandria via LeMat-Bulk: an optimized crystal structure of HfAl2Co (GGA-PBE).

Cell: 2.944 2.944 6.989 Å, 90.00 90.00 90.00°
Each line ends with the local moment (μB).
Positions (direct):
Al: 0.000 0.000 0.802  0.00
Al: 0.000 0.000 0.198  0.00
Hf: 0.500 0.500 0.500  0.02
Co: 0.500 0.500 0.000  0.42

## Properties
The calculated formation energy comes out at -0.457 eV/atom. The density of states at the Fermi level is 2.82 states/eV/f.u.